No. 1
This record from Alexandria via LeMat-Bulk describes a geometry-optimized Tb4Te3Au structure. The functional is PBE.

POSCAR file:
```
Tb4Te3Au
1.0
4.224 0.000 0.000
0.000 7.613 0.007
0.000 -2.393 7.227
Tb Te Au
4 3 1
Cartesian
2.112 5.200 1.748 Tb
2.112 0.020 5.486 Tb
0.000 4.030 5.585 Tb
0.000 1.190 1.650 Tb
0.000 3.807 0.004 Te
2.112 2.610 3.617 Te
0.000 -1.197 3.614 Te
2.112 0.000 0.000 Au
```

Calculated values
crystal system = orthorhombic
uncorrected formation energy = -1210.8 meV/atom
total magnetization = 0.00 μB per cell
space group = Cmmm, No. 65
calculated density = 8.68 g/cm3

No. 2
This record from Alexandria via LeMat-Bulk describes a geometry-optimized TbTeAu structure. The functional is PBE.

POSCAR file:
```
TbTeAu
1.0
-3.320 2.474 3.188
-5.108 0.079 -1.098
-3.757 -5.509 4.646
Au Te Tb
2 2 2
Cartesian
-8.752 0.380 3.440 Au
-3.433 -3.336 3.296 Au
-6.416 -3.650 4.717 Te
-5.769 0.694 2.019 Te
-3.067 -0.879 1.771 Tb
-9.118 -2.076 4.965 Tb
```

Calculated values
crystal system = trigonal
uncorrected formation energy = -876.9 meV/atom
total magnetization = 0.00 μB per cell
space group = R-3m, No. 166
calculated density = 9.00 g/cm3

No. 3
This record from Alexandria via LeMat-Bulk describes a geometry-optimized Tb3Te12Au5 structure. The functional is PBE.

POSCAR file:
```
Tb3Te12Au5
1.0
14.896 0.000 0.000
-4.965 14.044 0.000
-4.965 -7.022 12.163
Tb Te Au
12 48 20
Cartesian
6.207 0.878 4.561 Tb
11.172 0.000 3.041 Tb
-1.241 6.144 7.602 Tb
1.241 7.022 3.041 Tb
3.724 7.900 7.602 Tb
8.690 4.389 1.520 Tb
-3.724 2.633 10.642 Tb
1.241 -0.878 4.561 Tb
-6.207 7.022 9.122 Tb
3.724 0.000 9.122 Tb
-3.724 -2.633 10.642 Tb
8.690 9.656 1.520 Tb
7.620 12.495 0.532 Te
2.311 9.298 5.005 Te
-2.655 3.197 7.689 Te
7.620 3.825 4.474 Te
6.032 -1.082 7.073 Te
-1.935 0.048 10.095 Te
8.864 -4.949 10.555 Te
1.792 5.319 8.149 Te
-5.138 10.219 4.474 Te
1.935 -1.767 11.087 Te
-2.655 -5.473 11.631 Te
-1.416 4.949 10.555 Te
-4.275 6.206 6.613 Te
-5.514 -0.048 10.095 Te
9.759 1.549 0.532 Te
6.758 7.838 6.613 Te
5.514 1.767 11.087 Te
4.275 -1.703 4.013 Te
5.514 -1.815 11.171 Te
-0.548 5.255 1.076 Te
-0.548 8.837 0.992 Te
8.139 -0.887 2.600 Te
-6.032 3.866 8.681 Te
6.382 2.074 1.608 Te
3.031 8.789 1.076 Te
-1.067 8.104 5.089 Te
6.382 10.889 3.482 Te
3.549 5.940 5.089 Te
-3.899 11.971 1.608 Te
-1.416 -3.866 8.681 Te
0.172 4.746 5.005 Te
-3.173 7.909 9.563 Te
6.900 6.974 2.068 Te
10.479 7.071 2.068 Te
-4.793 5.473 11.631 Te
0.691 8.726 8.149 Te
4.793 2.276 7.157 Te
5.656 6.135 9.563 Te
10.103 -3.197 7.689 Te
3.173 1.703 4.013 Te
-1.792 -0.816 5.550 Te
1.935 1.815 11.171 Te
9.240 0.816 5.550 Te
3.031 5.207 0.992 Te
-0.691 0.887 2.600 Te
2.655 -2.276 7.157 Te
1.416 1.082 7.073 Te
10.997 3.156 3.482 Te
-4.965 3.511 6.081 Au
8.690 -0.878 7.602 Au
4.965 7.022 0.000 Au
6.207 3.511 9.122 Au
3.724 2.633 1.520 Au
-1.241 3.511 3.041 Au
7.448 0.000 0.000 Au
4.965 -3.511 6.081 Au
-2.483 -3.511 6.081 Au
2.483 3.511 6.081 Au
6.207 6.144 4.561 Au
1.241 4.389 10.642 Au
0.000 0.000 0.000 Au
-2.483 7.022 0.000 Au
1.241 -3.511 9.122 Au
3.724 10.533 3.041 Au
-3.724 7.900 4.561 Au
-1.241 11.411 1.520 Au
6.207 -4.389 10.642 Au
-1.241 0.878 7.602 Au
```

Calculated values
crystal system = cubic
uncorrected formation energy = -438.4 meV/atom
total magnetization = 0.00 μB per cell
space group = Ia-3d, No. 230
calculated density = 7.81 g/cm3

No. 4
This record from Alexandria via LeMat-Bulk describes a geometry-optimized Tb5Te4Au structure. The functional is PBE.

POSCAR file:
```
Tb5Te4Au
1.0
5.558 0.000 2.681
2.779 6.871 1.340
-0.206 0.000 7.529
Tb Te Au
5 4 1
Cartesian
4.432 1.252 5.029 Tb
2.240 4.267 2.470 Tb
2.786 0.000 1.344 Tb
5.901 2.605 9.085 Tb
3.709 5.619 6.526 Tb
6.543 5.390 7.754 Te
4.920 4.142 4.017 Te
3.222 2.729 7.538 Te
1.598 1.481 3.801 Te
0.008 0.000 0.004 Au
```

Calculated values
crystal system = tetragonal
uncorrected formation energy = -1241.6 meV/atom
total magnetization = 0.00 μB per cell
space group = I4/m, No. 87
excess energy over the best structure of this formula in the dataset = 0.0 kJ per mole of atoms
calculated density = 8.56 g/cm3

No. 5
This record from Alexandria via LeMat-Bulk describes a geometry-optimized TbTe2Au structure. The functional is PBE.

POSCAR file:
```
TbTe2Au
1.0
4.289 0.000 0.000
2.144 3.714 0.000
2.144 1.238 7.189
Au Te Tb
1 2 1
Cartesian
4.289 2.476 0.062 Au
2.144 1.238 1.684 Te
2.144 1.238 5.504 Te
4.289 2.476 3.535 Tb
```

Calculated values
crystal system = trigonal
uncorrected formation energy = -674.6 meV/atom
total magnetization = 0.00 μB per cell
space group = R3m, No. 160
calculated density = 8.86 g/cm3

No. 6
This record from Alexandria via LeMat-Bulk describes a geometry-optimized Tb3Te2Au structure. The functional is PBE.

POSCAR file:
```
Tb3Te2Au
1.0
4.207 0.000 0.000
0.000 6.170 0.000
-2.104 -3.085 6.663
Te Tb Au
2 3 1
Cartesian
3.156 4.628 1.015 Te
-1.052 -1.543 5.648 Te
1.052 -1.543 3.332 Tb
-1.052 1.543 5.329 Tb
3.156 1.543 1.334 Tb
1.052 1.543 3.332 Au
```

Calculated values
crystal system = orthorhombic
uncorrected formation energy = -1142.7 meV/atom
total magnetization = 0.00 μB per cell
space group = Immm, No. 71
excess energy over the best structure of this formula in the dataset = 1.6 kJ per mole of atoms
calculated density = 8.92 g/cm3

No. 7
This record from Alexandria via LeMat-Bulk describes a geometry-optimized TbTe2Au structure. The functional is PBE.

POSCAR file:
```
TbTe2Au
1.0
4.016 0.000 0.000
2.008 3.478 0.000
2.008 1.159 9.271
Te Au Tb
2 1 1
Cartesian
6.024 3.478 3.004 Te
2.008 1.159 6.268 Te
4.016 2.319 4.636 Au
0.000 0.000 0.000 Tb
```

Calculated values
crystal system = trigonal
uncorrected formation energy = -35.4 meV/atom
total magnetization = 0.00 μB per cell
space group = R-3m, No. 166
calculated density = 7.83 g/cm3

No. 8
This record from Alexandria via LeMat-Bulk describes a geometry-optimized TbTe2Au structure. The functional is PBE.

POSCAR file:
```
TbTe2Au
1.0
7.485 0.000 0.000
0.000 7.912 -4.609
0.000 -0.156 9.138
Te Tb Au
8 4 4
Cartesian
1.998 3.457 0.535 Te
1.996 3.144 5.478 Te
1.745 7.413 -1.769 Te
5.489 4.612 -0.949 Te
5.741 0.343 6.299 Te
5.739 0.656 1.356 Te
1.746 7.100 3.174 Te
5.487 4.299 3.994 Te
0.250 6.050 0.592 Tb
7.235 1.706 3.937 Tb
3.492 2.094 2.897 Tb
3.993 5.662 1.633 Tb
2.545 0.344 5.383 Au
6.288 3.456 1.451 Au
1.197 4.300 3.079 Au
4.940 7.412 -0.854 Au
```

Calculated values
crystal system = monoclinic
uncorrected formation energy = -862.7 meV/atom
total magnetization = 0.00 μB per cell
space group = P2_1/c, No. 14
calculated density = 7.58 g/cm3

No. 9
This record from Alexandria via LeMat-Bulk describes a geometry-optimized TbTlTe2Au structure. The functional is PBE.

POSCAR file:
```
TbTlTe2Au
1.0
-3.839 -2.867 -0.771
5.311 -6.505 -2.260
-0.500 -1.458 7.918
Tb Te Tl Au
2 4 2 2
Cartesian
-2.049 -1.801 1.593 Tb
-2.291 -2.524 5.554 Tb
0.084 -2.671 -0.473 Te
2.467 -6.438 1.668 Te
0.887 -8.160 5.361 Te
-1.496 -4.393 3.219 Te
-0.646 -5.989 0.212 Tl
1.617 -4.842 4.676 Tl
0.000 0.000 0.000 Au
-0.250 -0.729 3.959 Au
```

Calculated values
crystal system = monoclinic
uncorrected formation energy = -625.3 meV/atom
total magnetization = 0.00 μB per cell
space group = P2/c, No. 13
calculated density = 8.05 g/cm3

No. 10
This record from Alexandria via LeMat-Bulk describes a geometry-optimized TbTh5Au6 structure. The functional is PBE.

POSCAR file:
```
TbTh5Au6
1.0
5.127 -0.331 0.844
-0.021 7.007 2.874
1.224 0.459 8.872
Au Th Tb
6 5 1
Cartesian
3.783 1.785 9.906 Au
4.673 4.120 5.342 Au
2.547 5.350 2.684 Au
1.646 6.788 8.795 Au
4.684 0.347 3.795 Au
1.657 3.015 7.248 Au
2.151 2.467 3.980 Th
-0.010 3.504 1.437 Th
2.056 5.796 5.841 Th
4.179 4.668 8.609 Th
4.274 1.339 6.748 Th
0.000 0.000 0.000 Tb
```

Calculated values
crystal system = monoclinic
formation enthalpy at 0 K = -611.2 meV per atom
total magnetization = 0.00 μB per cell
space group = C2/m, No. 12
calculated density = 13.68 g/cm3

No. 11
This record from Alexandria via LeMat-Bulk describes a geometry-optimized TbTh2Au3 structure. The functional is PBE.

POSCAR file:
```
TbTh2Au3
1.0
-1.674 -2.606 1.775
2.648 -3.548 -2.713
11.665 0.138 11.203
Tb Th Au
2 4 6
Cartesian
-1.673 -2.605 1.774 Tb
7.155 -1.706 4.246 Tb
9.335 -4.264 9.718 Th
7.811 0.091 7.505 Th
1.632 -4.355 2.319 Th
3.851 0.044 3.701 Th
0.982 -1.280 2.633 Au
4.500 -3.031 3.387 Au
4.993 -1.238 6.491 Au
0.489 -3.073 -0.472 Au
8.136 -2.988 6.879 Au
9.010 -1.185 10.343 Au
```

Calculated values
crystal system = orthorhombic
formation enthalpy at 0 K = -651.5 meV per atom
total magnetization = 0.00 μB per cell
space group = Pmmn, No. 59
calculated density = 13.45 g/cm3

No. 12
This record from Alexandria via LeMat-Bulk describes a geometry-optimized TbTh3Au7 structure. The functional is PBE.

POSCAR file:
```
TbTh3Au7
1.0
-3.762 0.754 0.433
2.936 -1.330 10.608
2.622 12.591 0.853
Tb Au Th
2 14 6
Cartesian
1.997 9.415 0.958 Tb
-0.202 2.600 10.937 Tb
-1.581 1.449 0.954 Au
0.088 7.121 5.580 Au
2.749 8.736 8.674 Au
2.537 6.531 10.667 Au
-0.954 3.279 3.221 Au
3.377 10.566 10.941 Au
1.199 0.975 8.720 Au
1.789 3.806 8.912 Au
0.007 8.209 2.983 Au
0.596 11.040 3.175 Au
0.762 0.354 6.007 Au
-0.741 5.484 1.227 Au
1.708 4.894 6.314 Au
1.033 11.661 5.888 Au
1.452 5.329 3.333 Th
-0.628 2.984 6.566 Th
0.344 6.686 8.561 Th
1.360 11.568 8.892 Th
0.435 0.447 3.002 Th
2.423 9.030 5.329 Th
```

Calculated values
crystal system = orthorhombic
formation enthalpy at 0 K = -622.8 meV per atom
total magnetization = 0.00 μB per cell
space group = Cmcm, No. 63
calculated density = 13.65 g/cm3

No. 13
This record from Alexandria via LeMat-Bulk describes a geometry-optimized TbThAu structure. The functional is PBE.

POSCAR file:
```
TbThAu
1.0
3.623 0.000 0.000
0.000 3.623 0.000
-1.811 -1.811 6.283
Au Th Tb
1 1 1
Cartesian
1.811 1.811 2.190 Au
0.000 0.000 0.156 Th
0.000 0.000 3.936 Tb
```

Calculated values
crystal system = tetragonal
formation enthalpy at 0 K = -436.0 meV per atom
total magnetization = 0.00 μB per cell
space group = I4mm, No. 107
excess energy over the best structure of this formula in the dataset = 0.0 kJ per mole of atoms
calculated density = 11.84 g/cm3

No. 14
This record from Alexandria via LeMat-Bulk describes a geometry-optimized TbThAu structure. The functional is PBE.

POSCAR file:
```
TbThAu
1.0
-2.259 2.586 -1.586
0.022 -2.611 -4.286
-3.496 -0.920 3.481
Th Tb Au
1 1 1
Cartesian
-0.073 0.084 -0.051 Th
-2.452 -0.559 -2.610 Tb
-3.209 -0.470 0.270 Au
```

Calculated values
crystal system = trigonal
formation enthalpy at 0 K = -218.4 meV per atom
total magnetization = 0.00 μB per cell
space group = P3m1, No. 156
excess energy over the best structure of this formula in the dataset = 21.0 kJ per mole of atoms
calculated density = 11.83 g/cm3

No. 15
This record from Alexandria via LeMat-Bulk describes a geometry-optimized Tb5ThAu6 structure. The functional is PBE.

POSCAR file:
```
Tb5ThAu6
1.0
4.956 0.021 -1.446
-0.987 6.318 -3.290
-0.090 0.536 8.916
Au Tb Th
6 5 1
Cartesian
2.225 1.639 -1.571 Au
0.388 2.846 1.369 Au
-0.100 5.964 -0.254 Au
3.492 4.029 2.811 Au
3.980 0.911 4.434 Au
1.745 4.700 -3.165 Au
0.763 5.615 2.695 Tb
3.117 1.260 1.485 Tb
-0.493 3.159 -1.645 Tb
2.618 4.407 -0.181 Tb
1.262 2.468 4.361 Tb
0.000 0.000 0.000 Th
```

Calculated values
crystal system = orthorhombic
formation enthalpy at 0 K = -792.3 meV per atom
total magnetization = 0.00 μB per cell
space group = Immm, No. 71
calculated density = 12.73 g/cm3

No. 16
This record from Alexandria via LeMat-Bulk describes a geometry-optimized TbTh2Au structure. The functional is PBE.

POSCAR file:
```
TbTh2Au
1.0
-2.199 2.482 1.063
-2.687 0.924 -2.013
-8.331 -7.029 4.882
Th Au Tb
2 1 1
Cartesian
-6.556 1.372 0.346 Th
-6.661 -4.994 3.587 Th
0.000 0.000 0.000 Au
-6.609 -1.811 1.966 Tb
```

Calculated values
crystal system = trigonal
formation enthalpy at 0 K = 245.7 meV per atom
total magnetization = 0.00 μB per cell
space group = R-3m, No. 166
excess energy over the best structure of this formula in the dataset = 45.8 kJ per mole of atoms
calculated density = 11.01 g/cm3

No. 17
This record from Alexandria via LeMat-Bulk describes a geometry-optimized Tb3ThAu4 structure. The functional is PBE.

POSCAR file:
```
Tb3ThAu4
1.0
0.676 2.951 4.152
-0.156 -2.091 4.691
8.528 -1.130 2.593
Au Tb Th
4 3 1
Cartesian
5.360 -0.593 2.728 Au
7.584 -0.654 5.588 Au
1.464 0.384 5.848 Au
3.688 0.323 8.708 Au
6.736 -0.194 8.579 Tb
2.312 -0.076 2.857 Tb
4.524 -0.135 5.718 Tb
0.000 0.000 0.000 Th
```

Calculated values
crystal system = trigonal
formation enthalpy at 0 K = -764.9 meV per atom
total magnetization = 0.00 μB per cell
space group = R-3m, No. 166
calculated density = 12.82 g/cm3

No. 18
This record from Alexandria via LeMat-Bulk describes a geometry-optimized TbTh2Au structure. The functional is PBE.

POSCAR file:
```
TbTh2Au
1.0
-1.993 -2.330 1.939
1.468 -2.772 -1.822
6.524 -0.532 6.065
Th Au Tb
2 1 1
Cartesian
5.104 -0.416 4.745 Th
1.419 -0.116 1.320 Th
-0.262 -2.551 0.058 Au
3.000 -2.817 3.091 Tb
```

Calculated values
crystal system = tetragonal
formation enthalpy at 0 K = -228.7 meV per atom
total magnetization = 0.00 μB per cell
space group = P4/mmm, No. 123
excess energy over the best structure of this formula in the dataset = 0.0 kJ per mole of atoms
calculated density = 11.59 g/cm3

No. 19
This record from Alexandria via LeMat-Bulk describes a geometry-optimized Tb2ThAu4 structure. The functional is PBE.

POSCAR file:
```
Tb2ThAu4
1.0
5.112 0.000 0.000
0.000 5.706 -2.266
0.000 0.508 6.118
Tb Au Th
2 4 1
Cartesian
0.000 4.603 -0.487 Tb
0.000 1.611 4.339 Tb
0.000 1.806 1.120 Au
2.556 2.853 -1.133 Au
2.556 0.254 3.059 Au
0.000 4.408 2.732 Au
2.556 3.107 1.926 Th
```

Calculated values
crystal system = orthorhombic
formation enthalpy at 0 K = -643.3 meV per atom
total magnetization = 0.00 μB per cell
space group = Cmmm, No. 65
calculated density = 12.05 g/cm3

No. 20
This record from Alexandria via LeMat-Bulk describes a geometry-optimized TbThAu6 structure. The functional is PBE.

POSCAR file:
```
TbThAu6
1.0
-1.674 1.154 4.501
-4.701 1.418 0.598
-1.743 -7.384 3.954
Au Tb Th
6 1 1
Cartesian
-5.640 -3.151 4.129 Au
-4.800 -0.223 3.691 Au
-2.479 -1.662 4.923 Au
-5.738 -4.769 7.217 Au
-2.381 -0.043 1.835 Au
-3.319 -4.590 5.361 Au
0.000 0.000 0.000 Tb
-3.222 -2.983 2.276 Th
```

Calculated values
crystal system = monoclinic
formation enthalpy at 0 K = -642.6 meV per atom
total magnetization = 0.00 μB per cell
space group = C2/m, No. 12
calculated density = 15.29 g/cm3